Here is a relaxed structure of PmMn3Ge3 from Alexandria. Energies are from PBE-GGA.

The value obtained for the energy relative to the lowest polymorph listed for this composition is 456.7 meV/atom. The calculation puts the formation energy at 0.23 eV per atom.

Cell lengths 6.6821, 6.6821, 6.6821 Å; angles 90.00, 90.00, 90.00 degrees
Fractional positions:
Pm 0.0000 0.0000 0.0000
Pm 0.5000 0.5000 0.5000
Mn 0.0000 0.2500 0.5000
Mn 0.0000 0.7500 0.5000
Mn 0.2500 0.5000 0.0000
Mn 0.5000 0.0000 0.2500
Mn 0.5000 0.0000 0.7500
Mn 0.7500 0.5000 0.0000
Ge 0.0000 0.5000 0.2500
Ge 0.0000 0.5000 0.7500
Ge 0.2500 0.0000 0.5000
Ge 0.5000 0.2500 0.0000
Ge 0.5000 0.7500 0.0000
Ge 0.7500 0.0000 0.5000